Material: Rb2HgI
Method: DFT, meta-GGA SCAN
State: single point on PBEsol structure

Cell lengths 6.196, 6.196, 6.196 Å; angles 60.00, 60.00, 60.00 degrees
Positions (direct):
1 Rb 0.250 0.250 0.250
2 Rb 0.750 0.750 0.750
3 Hg 0.000 0.000 0.000
4 I 0.500 0.500 0.500

Computed properties:
Raw formation energy = -0.796 eV/atom